*a*
An optimized crystal structure of Mg2CdSb, computed with PBEsol.

Calculated values
Magnetic moment (μB per cell): 0.0

Unit cell a=4.549 b=4.549 c=8.625 alpha=90.00 beta=90.00 gamma=90.00
Space group I4/mmm (No. 139)
Symmetry-distinct sites (fractional):
Mg 0.000 0.500 0.250 (multiplicity 4)
Cd 0.000 0.000 0.000 (multiplicity 2)
Sb 0.000 0.000 0.500 (multiplicity 2)

*b*
An optimized crystal structure of Mg2CdSb, computed with PBEsol.

Calculated values
Magnetic moment (μB per cell): 0.0

Unit cell a=9.093 b=3.329 c=6.284 alpha=90.00 beta=102.17 gamma=90.00
Space group C2/m (No. 12)
Symmetry-distinct sites (fractional):
Mg 0.249 0.000 0.228 (multiplicity 4)
Cd 0.000 0.500 0.000 (multiplicity 2)
Sb 0.000 0.000 0.500 (multiplicity 2)

*c*
An optimized crystal structure of Mg2CdSb, computed with PBEsol.

Calculated values
Magnetic moment (μB per cell): 0.0

Unit cell a=4.283 b=4.283 c=9.789 alpha=90.00 beta=90.00 gamma=90.00
Space group I-4m2 (No. 119)
Symmetry-distinct sites (fractional):
Mg 0.000 0.000 0.000 (multiplicity 2)
Mg 0.000 0.500 0.250 (multiplicity 2)
Cd 0.000 0.500 0.750 (multiplicity 2)
Sb 0.000 0.000 0.500 (multiplicity 2)

*d*
An optimized crystal structure of Mg2CdSb, computed with PBEsol.

Calculated values
Magnetic moment (μB per cell): 0.0

Unit cell a=3.275 b=3.275 c=8.315 alpha=90.00 beta=90.00 gamma=90.00
Space group P4/mmm (No. 123)
Symmetry-distinct sites (fractional):
Mg 0.000 0.000 0.236 (multiplicity 2)
Cd 0.500 0.500 0.000 (multiplicity 1)
Sb 0.500 0.500 0.500 (multiplicity 1)

What should be chosen as the most stable of them? Choose *c*.

*a*
An optimized crystal structure of Mg2CdSb, computed with PBEsol.

Calculated values
Magnetic moment (μB per cell): 0.0

Unit cell a=5.421 b=3.126 c=5.452 alpha=90.00 beta=104.29 gamma=90.00
Space group Pm (No. 6)
Symmetry-distinct sites (fractional):
Mg 0.000 0.000 0.000 (multiplicity 1)
Mg 0.498 0.000 0.503 (multiplicity 1)
Cd 0.500 0.500 0.002 (multiplicity 1)
Sb 0.998 0.500 0.500 (multiplicity 1)

*b*
An optimized crystal structure of Mg2CdSb, computed with PBEsol.

Calculated values
Magnetic moment (μB per cell): 0.0

Unit cell a=10.659 b=3.410 c=5.074 alpha=90.00 beta=98.70 gamma=90.00
Space group Cm (No. 8)
Symmetry-distinct sites (fractional):
Mg 0.000 0.000 0.000 (multiplicity 2)
Mg 0.244 0.000 0.692 (multiplicity 2)
Cd 0.247 0.500 0.178 (multiplicity 2)
Sb 0.001 0.500 0.500 (multiplicity 2)

*c*
An optimized crystal structure of Mg2CdSb, computed with PBEsol.

Calculated values
Magnetic moment (μB per cell): 0.0

Unit cell a=3.340 b=4.087 c=6.497 alpha=90.00 beta=90.00 gamma=90.00
Space group Pmmm (No. 47)
Symmetry-distinct sites (fractional):
Mg 0.000 0.000 0.245 (multiplicity 2)
Cd 0.500 0.500 0.000 (multiplicity 1)
Sb 0.500 0.500 0.500 (multiplicity 1)

*d*
An optimized crystal structure of Mg2CdSb, computed with PBEsol.

Calculated values
Magnetic moment (μB per cell): 0.0

Unit cell a=3.419 b=4.392 c=6.099 alpha=90.00 beta=90.00 gamma=90.00
Space group Pmm2 (No. 25)
Symmetry-distinct sites (fractional):
Mg 0.000 0.000 0.000 (multiplicity 1)
Mg 0.500 0.500 0.291 (multiplicity 1)
Cd 0.500 0.500 0.807 (multiplicity 1)
Sb 0.000 0.000 0.497 (multiplicity 1)

What should be chosen as the most stable of them? Choose *c*.

*a*
An optimized crystal structure of Mg2CdSb, computed with PBEsol.

Calculated values
Magnetic moment (μB per cell): 0.0

Unit cell a=7.167 b=7.167 c=7.167 alpha=90.00 beta=90.00 gamma=90.00
Space group Fm-3m (No. 225)
Symmetry-distinct sites (fractional):
Mg 0.250 0.250 0.250 (multiplicity 8)
Cd 0.000 0.000 0.000 (multiplicity 4)
Sb 0.000 0.000 0.500 (multiplicity 4)

*b*
An optimized crystal structure of Mg2CdSb, computed with PBEsol.

Calculated values
Magnetic moment (μB per cell): 0.0

Unit cell a=3.972 b=3.972 c=5.862 alpha=90.00 beta=90.00 gamma=90.00
Space group P4mm (No. 99)
Symmetry-distinct sites (fractional):
Mg 0.000 0.000 0.000 (multiplicity 1)
Mg 0.500 0.500 0.294 (multiplicity 1)
Cd 0.500 0.500 0.794 (multiplicity 1)
Sb 0.000 0.000 0.500 (multiplicity 1)

What should be chosen as the most stable of them? Choose *a*.

*a*
An optimized crystal structure of MgSc2Cd, computed with PBEsol.

Calculated values
Magnetic moment (μB per cell): 0.8

Unit cell a=3.538 b=3.538 c=7.037 alpha=90.00 beta=90.00 gamma=90.00
Space group P4mm (No. 99)
Symmetry-distinct sites (fractional):
Mg 0.000 0.000 0.000 (multiplicity 1)
Sc 0.000 0.000 0.520 (multiplicity 1)
Sc 0.500 0.500 0.265 (multiplicity 1)
Cd 0.500 0.500 0.764 (multiplicity 1)

*b*
An optimized crystal structure of MgSc2Cd, computed with PBEsol.

Calculated values
Magnetic moment (μB per cell): 1.4

Unit cell a=11.419 b=3.410 c=5.050 alpha=90.00 beta=116.07 gamma=90.00
Space group Cm (No. 8)
Symmetry-distinct sites (fractional):
Mg 0.000 0.000 0.000 (multiplicity 2)
Sc 0.235 0.000 0.736 (multiplicity 2)
Sc 0.468 0.000 0.468 (multiplicity 2)
Cd 0.222 0.500 0.225 (multiplicity 2)

*c*
An optimized crystal structure of MgSc2Cd, computed with PBEsol.

Calculated values
Magnetic moment (μB per cell): 0.0

Unit cell a=7.025 b=7.025 c=7.025 alpha=90.00 beta=90.00 gamma=90.00
Space group Fm-3m (No. 225)
Symmetry-distinct sites (fractional):
Mg 0.000 0.000 0.000 (multiplicity 4)
Sc 0.250 0.250 0.250 (multiplicity 8)
Cd 0.000 0.000 0.500 (multiplicity 4)

*d*
An optimized crystal structure of MgSc2Cd, computed with PBEsol.

Calculated values
Magnetic moment (μB per cell): 0.0

Unit cell a=3.209 b=4.779 c=5.901 alpha=90.00 beta=101.39 gamma=90.00
Space group Pm (No. 6)
Symmetry-distinct sites (fractional):
Mg 0.000 0.000 0.000 (multiplicity 1)
Sc 0.295 0.000 0.519 (multiplicity 1)
Sc 0.613 0.500 0.213 (multiplicity 1)
Cd 0.909 0.500 0.724 (multiplicity 1)

What should be chosen as the most stable of them? Choose *c*.

*a*
An optimized crystal structure of Sr2MgCd, computed with PBEsol.

Calculated values
Magnetic moment (μB per cell): 0.0

Unit cell a=8.090 b=8.090 c=8.090 alpha=90.00 beta=90.00 gamma=90.00
Space group Fm-3m (No. 225)
Symmetry-distinct sites (fractional):
Sr 0.250 0.250 0.250 (multiplicity 8)
Mg 0.000 0.000 0.000 (multiplicity 4)
Cd 0.000 0.000 0.500 (multiplicity 4)

*b*
An optimized crystal structure of Sr2MgCd, computed with PBEsol.

Calculated values
Magnetic moment (μB per cell): 0.0

Unit cell a=3.920 b=3.920 c=8.990 alpha=90.00 beta=90.00 gamma=90.00
Space group P4mm (No. 99)
Symmetry-distinct sites (fractional):
Sr 0.000 0.000 0.000 (multiplicity 1)
Sr 0.500 0.500 0.364 (multiplicity 1)
Mg 0.500 0.500 0.750 (multiplicity 1)
Cd 0.000 0.000 0.597 (multiplicity 1)

What should be chosen as the most stable of them? Choose *a*.

*a*
An optimized crystal structure of MgTa2Cd, computed with PBEsol.

Calculated values
Magnetic moment (μB per cell): 0.0

Unit cell a=3.422 b=3.422 c=6.566 alpha=90.00 beta=90.00 gamma=90.00
Space group P4mm (No. 99)
Symmetry-distinct sites (fractional):
Mg 0.000 0.000 0.000 (multiplicity 1)
Ta 0.000 0.000 0.463 (multiplicity 1)
Ta 0.500 0.500 0.277 (multiplicity 1)
Cd 0.500 0.500 0.747 (multiplicity 1)

*b*
An optimized crystal structure of MgTa2Cd, computed with PBEsol.

Calculated values
Magnetic moment (μB per cell): 0.0

Unit cell a=3.339 b=4.468 c=9.909 alpha=90.00 beta=90.00 gamma=90.00
Space group Cmmm (No. 65)
Symmetry-distinct sites (fractional):
Mg 0.000 0.000 0.000 (multiplicity 2)
Ta 0.000 0.500 0.250 (multiplicity 4)
Cd 0.000 0.000 0.500 (multiplicity 2)

What should be chosen as the most stable of them? Choose *a*.